No. 1
TlNiHg2 | GGA-PBE | relaxed

Unit cell a=3.2271 b=6.6344 c=6.6313 alpha=45.62 beta=90.00 gamma=90.00
Element x y z (fractional)
Hg 0.5000 0.3269 0.3261
Ni 0.0000 0.4978 0.4987
Tl 0.5000 0.6732 0.6726
Hg 0.0000 0.0020 0.0027

Results
Electronic total energy ... -7.93 eV per formula unit
Offset from the most stable computed form ... 0.065 eV per atom
ΔE_f ... 0.21 eV/atom
V ... 101.5 Å³ per cell
Symmetry ... Amm2, No. 38

No. 2
Tl3RhW | GGA-PBE | relaxed

Unit cell a=5.3172 b=5.3172 c=5.3172 alpha=90.00 beta=90.00 gamma=90.00
Each line ends with the local moment (μB).
Element x y z (fractional)
Tl 0.0000 0.5000 0.0000  0.00
W 0.0000 0.0000 0.0000  0.51
Tl 0.0000 0.0000 0.5000  0.00
Tl 0.5000 0.0000 0.0000  -0.01
Rh 0.5000 0.5000 0.5000  1.06

Results
Electronic total energy ... -20.30 eV per formula unit
ΔE_f ... 1.42 eV/atom
V ... 150.3 Å³ per cell
Symmetry ... Pm-3m, No. 221

No. 3
PmThCuPt | GGA-PBE | relaxed

Unit cell a=3.8811 b=4.3971 c=5.9720 alpha=90.00 beta=108.96 gamma=90.00
Element x y z (fractional)
Cu 0.5784 0.5000 0.1569
Pm 0.1401 0.0000 0.2801
Th 0.8697 0.5000 0.7394
Pt 0.4118 0.0000 0.8236

Results
Electronic total energy ... -25.14 eV per formula unit
Offset from the most stable computed form ... 0.000 eV per atom
ΔE_f ... -0.71 eV/atom
V ... 96.4 Å³ per cell
Symmetry ... Amm2, No. 38

No. 4
K3Hg | GGA-PBE | relaxed

Unit cell a=7.4429 b=14.8587 c=14.8587 alpha=90.00 beta=90.00 gamma=90.00
Element x y z (fractional)
K 0.7285 0.0348 0.8670
Hg 0.2222 0.0475 0.7879
K 0.9818 0.8297 0.7223
Hg 0.7778 0.7879 0.9525
K 0.7285 0.9652 0.1330
K 0.2285 0.6330 0.5348
K 0.5239 0.3827 0.9179
K 0.2715 0.8670 0.9652
K 0.4761 0.9179 0.6173
Hg 0.2778 0.5475 0.2879
K 0.7715 0.4652 0.6330
Hg 0.7778 0.2121 0.0475
Hg 0.2222 0.9525 0.2121
K 0.2285 0.3670 0.4652
K 0.0182 0.2777 0.8297
K 0.9818 0.1703 0.2777
Hg 0.7222 0.7121 0.5475
Hg 0.7222 0.2879 0.4525
K 0.4761 0.0821 0.3827
K 0.9761 0.8827 0.4179
K 0.0239 0.5821 0.8827
K 0.9761 0.1173 0.5821
K 0.5182 0.3297 0.2223
K 0.4818 0.2223 0.6703
K 0.0182 0.7223 0.1703
K 0.0239 0.4179 0.1173
K 0.4818 0.7777 0.3297
K 0.5239 0.6173 0.0821
Hg 0.2778 0.4525 0.7121
K 0.7715 0.5348 0.3670
K 0.2715 0.1330 0.0348
K 0.5182 0.6703 0.7777

Results
Electronic total energy ... -4.12 eV per formula unit
ΔE_f ... -0.13 eV/atom
V ... 1643.3 Å³ per cell
Symmetry ... P4_2/n, No. 86

No. 5
Er2TmSb | GGA-PBE | relaxed

Unit cell a=4.0976 b=4.0976 c=6.6179 alpha=90.00 beta=90.00 gamma=90.00
Element x y z (fractional)
Er 0.0000 0.0000 0.2369
Er 0.0000 0.0000 0.7631
Tm 0.5000 0.5000 0.5000
Sb 0.5000 0.5000 0.0000

Results
Electronic total energy ... -19.58 eV per formula unit
Offset from the most stable computed form ... 0.066 eV per atom
V ... 111.1 Å³ per cell
E_form (uncorrected) ... -0.466 eV per atom
Symmetry ... P4/mmm, No. 123

No. 6
YGa3Ni2 | GGA-PBE | relaxed

Unit cell a=9.3836 b=9.3836 c=3.8222 alpha=90.00 beta=90.00 gamma=120.00
Element x y z (fractional)
Ni 0.2889 0.0000 0.0000
Ga 0.0000 0.5000 0.5000
Ni 0.0000 0.2889 0.0000
Ga 0.1839 0.8161 0.5000
Y 0.3333 0.6667 0.0000
Ga 0.1839 0.3677 0.5000
Ga 0.6323 0.8161 0.5000
Ni 0.0000 0.7111 0.0000
Ga 0.5000 0.5000 0.5000
Ga 0.3677 0.1839 0.5000
Ga 0.8161 0.6323 0.5000
Ga 0.5000 0.0000 0.5000
Y 0.0000 0.0000 0.5000
Ga 0.8161 0.1839 0.5000
Ni 0.2889 0.2889 0.0000
Ni 0.7111 0.0000 0.0000
Ni 0.7111 0.7111 0.0000
Y 0.6667 0.3333 0.0000

Results
Electronic total energy ... -29.98 eV per formula unit
ΔE_f ... -0.48 eV/atom
V ... 291.5 Å³ per cell
Symmetry ... P6/mmm, No. 191

No. 7
Cr2SiCl | GGA-PBE | relaxed

Unit cell a=5.2010 b=5.2010 c=5.2010 alpha=145.53 beta=105.82 gamma=84.43
Each line ends with the local moment (μB).
Element x y z (fractional)
Cr 0.4960 0.4960 0.0000  3.38
Si 0.2500 0.7500 0.5000  -0.20
Cr 0.0040 0.0040 0.0000  3.38
Cl 0.7500 0.2500 0.5000  0.02

Results
Electronic total energy ... -24.99 eV per formula unit
Offset from the most stable computed form ... 0.374 eV per atom
V ... 74.5 Å³ per cell
E_form (uncorrected) ... 0.383 eV per atom
Symmetry ... Immm, No. 71

No. 8
OsPdRh4 | GGA-PBE | relaxed

Unit cell a=2.7255 b=3.8556 c=8.2106 alpha=90.00 beta=90.00 gamma=90.00
Element x y z (fractional)
Os 0.5000 0.0000 0.5000
Rh 0.5000 0.0000 0.8267
Pd 0.0000 0.5000 0.0000
Rh 0.5000 0.0000 0.1733
Rh 0.0000 0.5000 0.3396
Rh 0.0000 0.5000 0.6604

Results
Electronic total energy ... -45.41 eV per formula unit
ΔE_f ... 0.07 eV/atom
V ... 86.3 Å³ per cell
Symmetry ... Pmmm, No. 47

No. 9
NdCr2S4 | GGA-PBE | relaxed

Unit cell a=7.1428 b=7.1428 c=7.1452 alpha=108.38 beta=108.38 gamma=111.66
Each line ends with the local moment (μB).
Element x y z (fractional)
S 0.9148 0.5939 0.6791  -0.06
Cr 0.6250 0.3750 0.7500  3.26
S 0.7643 0.0849 0.6788  -0.06
S 0.3354 0.1561 0.8211  -0.06
S 0.9148 0.2357 0.3209  -0.06
S 0.4061 0.0855 0.3212  -0.06
S 0.8439 0.6647 0.1790  -0.06
Cr 0.1250 0.3750 0.7500  3.26
Cr 0.6250 0.3750 0.2500  3.26
Cr 0.6250 0.8750 0.2501  3.26
S 0.4857 0.6649 0.8210  -0.06
S 0.3350 0.5143 0.1789  -0.06
Nd 0.2500 0.7500 0.5000  0.06
Nd 0.0000 0.0000 0.0000  0.06

Results
Electronic total energy ... -47.64 eV per formula unit
V ... 280.4 Å³ per cell
E_form (uncorrected) ... -1.017 eV per atom
Symmetry ... I4_1/amd, No. 141

No. 10
ScRu2 | GGA-PBE | relaxed

Unit cell a=5.1354 b=5.1354 c=8.6518 alpha=90.00 beta=90.00 gamma=120.00
Element x y z (fractional)
Ru 0.3437 0.1719 0.2500
Ru 0.0000 0.0000 0.0000
Ru 0.8281 0.1719 0.2500
Sc 0.3333 0.6667 0.0676
Ru 0.1719 0.8281 0.7500
Sc 0.6667 0.3333 0.5676
Sc 0.6667 0.3333 0.9324
Sc 0.3333 0.6667 0.4324
Ru 0.6563 0.8281 0.7500
Ru 0.0000 0.0000 0.5000
Ru 0.1719 0.3437 0.7500
Ru 0.8281 0.6563 0.2500

Results
Electronic total energy ... -26.05 eV per formula unit
ΔE_f ... -0.39 eV/atom
V ... 197.6 Å³ per cell
Symmetry ... P6_3/mmc, No. 194

No. 11
CsRb4Ag | GGA-PBE | relaxed

Unit cell a=8.1945 b=9.9456 c=13.0202 alpha=112.45 beta=106.68 gamma=90.00
Element x y z (fractional)
Rb 0.0000 0.2443 0.0000
Cs 0.8000 0.7960 0.5919
Rb 0.8285 0.3397 0.6793
Rb 0.3949 0.6458 0.7949
Cs 0.2000 0.2040 0.4081
Rb 0.6051 0.3542 0.2051
Ag 0.3294 0.5040 0.0081
Rb 0.6051 0.8509 0.2051
Ag 0.6706 0.4960 0.9919
Rb 0.3949 0.1491 0.7949
Rb 0.0000 0.7557 0.0000
Rb 0.1715 0.6603 0.3207

Results
Electronic total energy ... -7.37 eV per formula unit
ΔE_f ... 0.03 eV/atom
V ... 932.2 Å³ per cell
Symmetry ... C2/m, No. 12

No. 12
Li5Zn7 | GGA-PBE | relaxed

Unit cell a=4.0832 b=6.2531 c=7.9158 alpha=71.05 beta=75.05 gamma=70.94
Element x y z (fractional)
Li 0.2521 0.7451 0.7508
Li 0.8410 0.8166 0.5013
Zn 0.4213 0.9044 0.2529
Zn 0.6701 0.6720 0.9877
Zn 0.3299 0.3280 0.0123
Li 0.7479 0.2549 0.2492
Zn 0.9161 0.4055 0.7624
Zn 0.5000 0.5000 0.5000
Zn 0.0839 0.5945 0.2376
Li 0.1590 0.1834 0.4987
Zn 0.5787 0.0956 0.7471
Li 0.0000 0.0000 0.0000

Results
Electronic total energy ... -20.52 eV per formula unit
ΔE_f ... -0.17 eV/atom
V ... 178.1 Å³ per cell
Symmetry ... C2/m, No. 12

No. 13
Na2CdAg2Hg5 | GGA-PBE | relaxed

Unit cell a=4.4881 b=10.4207 c=10.4207 alpha=90.00 beta=90.00 gamma=90.00
Element x y z (fractional)
Ag 0.0000 0.6217 0.8783
Hg 0.5000 0.0000 0.5000
Hg 0.5000 0.2006 0.0657
Na 0.0000 0.1755 0.3245
Na 0.0000 0.3245 0.8245
Cd 0.0000 0.5000 0.5000
Hg 0.5000 0.5657 0.7006
Ag 0.0000 0.3783 0.1217
Hg 0.5000 0.7994 0.9343
Hg 0.5000 0.9343 0.2006
Hg 0.5000 0.4343 0.2994
Hg 0.5000 0.0657 0.7994
Hg 0.5000 0.7006 0.4343
Na 0.0000 0.6755 0.1755
Na 0.0000 0.8245 0.6755
Hg 0.5000 0.5000 0.0000
Cd 0.0000 0.0000 0.0000
Hg 0.5000 0.2994 0.5657
Ag 0.0000 0.8783 0.3783
Ag 0.0000 0.1217 0.6217

Results
Electronic total energy ... -11.43 eV per formula unit
ΔE_f ... -0.07 eV/atom
V ... 487.4 Å³ per cell
Symmetry ... P4/mbm, No. 127

No. 14
ScMnCo2H | GGA-PBE | relaxed

Unit cell a=4.5683 b=3.3373 c=4.5683 alpha=90.00 beta=90.00 gamma=90.00
Each line ends with the local moment (μB).
Element x y z (fractional)
Sc 0.0000 0.0000 0.0000  -0.22
Mn 0.5000 0.5000 0.5000  3.77
Co 0.0000 0.0000 0.5000  1.11
H 0.0000 0.5000 0.0000  0.03
Co 0.5000 0.0000 0.0000  1.06

Results
Electronic total energy ... -29.06 eV per formula unit
V ... 69.6 Å³ per cell
Symmetry ... P4/mmm, No. 123

No. 15
LiIr2N3 | GGA-PBE | relaxed

Unit cell a=5.7181 b=5.7181 c=5.0289 alpha=90.00 beta=90.00 gamma=118.23
Element x y z (fractional)
Ir 0.7330 0.0085 0.5044
N 0.9571 0.3708 0.3585
Ir 0.9915 0.2670 0.0044
N 0.6624 0.6624 0.3829
N 0.3376 0.3376 0.8829
N 0.6292 0.0429 0.8585
Li 0.6704 0.6704 0.9791
N 0.0429 0.6292 0.8585
N 0.3708 0.9571 0.3585
Ir 0.2670 0.9915 0.0044
Ir 0.0085 0.7330 0.5044
Li 0.3296 0.3296 0.4791

Results
Electronic total energy ... -42.31 eV per formula unit
V ... 144.9 Å³ per cell
E_form (uncorrected) ... 0.384 eV per atom
Symmetry ... Cmc2_1, No. 36

No. 16
YIn2Cu | GGA-PBE | relaxed

Unit cell a=4.6267 b=4.6267 c=8.8139 alpha=105.22 beta=105.22 gamma=90.00
Element x y z (fractional)
Y 0.8625 0.8625 0.7249
Cu 0.2500 0.7500 0.5000
In 0.3458 0.3458 0.6915
In 0.6542 0.6542 0.3085
Cu 0.7500 0.2500 0.5000
In 0.5000 0.0000 0.0000
Y 0.1375 0.1375 0.2751
In 0.0000 0.5000 0.0000

Results
Electronic total energy ... -17.53 eV per formula unit
ΔE_f ... -0.37 eV/atom
V ... 175.2 Å³ per cell
Symmetry ... I4/mmm, No. 139

No. 17
Na7Tl3Ag | GGA-PBE | relaxed

Unit cell a=7.9677 b=7.0109 c=7.0109 alpha=120.00 beta=90.00 gamma=90.00
Element x y z (fractional)
Na 0.4689 0.8364 0.6729
Na 0.4689 0.3271 0.1636
Ag 0.4548 0.3333 0.6667
Na 0.0919 0.6667 0.3333
Tl 0.7754 0.4944 0.5056
Tl 0.7754 0.4944 0.9888
Na 0.1119 0.1707 0.3413
Na 0.1119 0.6587 0.8293
Tl 0.7754 0.0112 0.5056
Na 0.1119 0.1707 0.8293
Na 0.4689 0.8364 0.1636

Results
Electronic total energy ... -19.04 eV per formula unit
Offset from the most stable computed form ... 0.058 eV per atom
ΔE_f ... 0.01 eV/atom
V ... 339.2 Å³ per cell
Symmetry ... P3m1, No. 156

No. 18
Sm2DyErSc | GGA-PBE | relaxed

Unit cell a=7.1193 b=8.1802 c=6.9704 alpha=125.93 beta=90.00 gamma=90.00
Element x y z (fractional)
Sc 0.2500 0.0036 0.0072
Sc 0.7500 0.9964 0.9928
Sm 0.0000 0.3015 0.0000
Er 0.7500 0.2652 0.5305
Sm 0.5000 0.3015 0.0000
Dy 0.2500 0.2692 0.5384
Sm 0.5000 0.6985 0.0000
Sm 0.0000 0.6985 0.0000
Dy 0.7500 0.7308 0.4616
Er 0.2500 0.7348 0.4695

Results
Electronic total energy ... -23.08 eV per formula unit
ΔE_f ... 0.37 eV/atom
V ... 328.7 Å³ per cell
Symmetry ... Cmcm, No. 63

No. 19
Ba2In4HgPd3 | GGA-PBE | relaxed

Unit cell a=4.9638 b=4.9638 c=10.7191 alpha=90.00 beta=90.00 gamma=90.00
Element x y z (fractional)
In 0.5000 0.5000 0.0000
Hg 0.5000 0.5000 0.5000
In 0.0000 0.5000 0.3669
Pd 0.0000 0.0000 0.5000
In 0.5000 0.0000 0.6331
Pd 0.5000 0.0000 0.8858
Ba 0.0000 0.5000 0.7434
In 0.0000 0.0000 0.0000
Pd 0.0000 0.5000 0.1142
Ba 0.5000 0.0000 0.2566

Results
Electronic total energy ... -35.89 eV per formula unit
ΔE_f ... -0.52 eV/atom
V ... 264.1 Å³ per cell
Symmetry ... P-4m2, No. 115

No. 20
Ag3Se2 | GGA-PBE | relaxed

Unit cell a=4.1080 b=7.2153 c=7.6667 alpha=93.00 beta=74.49 gamma=73.40
Element x y z (fractional)
Se 0.0158 0.8084 0.3107
Se 0.1351 0.1910 0.6887
Ag 0.0765 0.4998 0.4998
Ag 0.7106 0.6793 0.0486
Ag 0.7674 0.9201 0.6951
Se 0.7861 0.3485 0.2289
Se 0.3635 0.6515 0.7717
Ag 0.0740 0.0003 0.0003
Ag 0.3829 0.0794 0.3043
Ag 0.4380 0.3219 0.9518

Results
Electronic total energy ... -15.58 eV per formula unit
Offset from the most stable computed form ... 0.000 eV per atom
V ... 207.8 Å³ per cell
E_form (uncorrected) ... -0.011 eV per atom
Symmetry ... P1, No. 1